(1)
Here is crystalline Be2CoMo at its relaxed geometry from Alexandria. Energies are from PBE-GGA.

Values from the calculation:
DFT formation energy (meV per atom): 14
DOS at the Fermi energy (states/eV/f.u.): 2.8
Polymorph energy (0 for the lowest one) (meV/atom): 164
Total energy (eV/atom): -6.3330

a b c (Å): 4.635 4.635 4.635
angles (deg): 146.05 129.29 62.44
Atoms (fractional coordinates):
Be1 0.000 0.000 0.000
Be2 0.780 0.280 0.500
Co1 0.241 0.741 0.500
Mo1 0.513 0.513 0.000


(2)
Here is crystalline BeCoMo at its relaxed geometry from Alexandria. Energies are from PBE-GGA.

Values from the calculation:
DFT formation energy (meV per atom): -82
DOS at the Fermi energy (states/eV/f.u.): 1.9
Polymorph energy (0 for the lowest one) (meV/atom): 75
Total energy (eV/atom): -7.3030

a b c (Å): 3.887 3.887 2.624
angles (deg): 90.00 90.00 120.00
Atoms (fractional coordinates):
Be1 0.000 0.000 0.000
Co1 0.667 0.333 0.000
Mo1 0.333 0.667 0.500


(3)
Here is crystalline Be15Co2Mo2 at its relaxed geometry from Alexandria. Energies are from PBE-GGA.

Values from the calculation:
DFT formation energy (meV per atom): -194
DOS at the Fermi energy (states/eV/f.u.): 5.8
Total energy (eV/atom): -5.0234

a b c (Å): 5.549 5.549 5.549
angles (deg): 82.99 82.99 82.99
Atoms (fractional coordinates):
Be1 0.000 0.000 0.500
Be2 0.000 0.294 0.706
Be3 0.000 0.500 0.000
Be4 0.000 0.706 0.294
Be5 0.162 0.650 0.650
Be6 0.294 0.000 0.706
Be7 0.294 0.706 0.000
Be8 0.350 0.350 0.838
Be9 0.350 0.838 0.350
Be10 0.500 0.000 0.000
Be11 0.650 0.162 0.650
Be12 0.650 0.650 0.162
Be13 0.706 0.000 0.294
Be14 0.706 0.294 0.000
Be15 0.838 0.350 0.350
Co1 0.105 0.105 0.105
Co2 0.895 0.895 0.895
Mo1 0.343 0.343 0.343
Mo2 0.657 0.657 0.657


(4)
Here is crystalline BeCoMo2 at its relaxed geometry from Alexandria. Energies are from PBE-GGA.

Values from the calculation:
DFT formation energy (meV per atom): 63
DOS at the Fermi energy (states/eV/f.u.): 3.7
Total energy (eV/atom): -8.0607

a b c (Å): 2.657 3.640 5.266
angles (deg): 90.00 90.00 90.00
Atoms (fractional coordinates):
Be1 0.000 0.000 0.000
Co1 0.000 0.000 0.500
Mo1 0.500 0.500 0.242
Mo2 0.500 0.500 0.758